CdAsRh2 | GGA-PBE | relaxed

Computed properties:
Calculated volume: 68.0 Å³/f.u.
DOS at the Fermi energy: 5.0 states/eV/f.u.
ΔE_f: 0.2 eV per formula unit
Calculated total energy: -5.02 eV/atom

Lattice parameters (Å, degrees): 8.919 8.919 8.919 19.34 19.34 19.34
Site moments in Bohr magnetons follow the coordinates.
Positions (direct):
As (0.513, 0.513, 0.513)  -0.01
Rh (0.996, 0.996, 0.996)  0.34
Rh (0.246, 0.246, 0.246)  0.10
Cd (0.746, 0.746, 0.746)  -0.01